--- a ---
## BaInBr4 (GGA-PBE)

Data for a relaxed structure of BaInBr4.

Cell and atoms, written as CIF:
```
data_BaInBr4
_chemical_formula_sum 'Ba1 In1 Br4'
_cell_length_a 6.620
_cell_length_b 6.620
_cell_length_c 6.620
_cell_angle_alpha 60.00
_cell_angle_beta 60.00
_cell_angle_gamma 60.00
_space_group_name_H-M_alt 'P 1'
_space_group_IT_number 1
loop_
_space_group_symop_operation_xyz
'x,y,z'
loop_
_atom_site_label
_atom_site_type_symbol
_atom_site_fract_x
_atom_site_fract_y
_atom_site_fract_z
Ba1 Ba 0.000 0.000 0.000
In1 In 0.250 0.250 0.250
Br1 Br 0.125 0.625 0.625
Br2 Br 0.625 0.125 0.625
Br3 Br 0.625 0.625 0.125
Br4 Br 0.625 0.625 0.625
```

--- b ---
## BaInBr4 (GGA-PBE)

Data for a relaxed structure of BaInBr4.

Cell and atoms, written as CIF:
```
data_BaInBr4
_chemical_formula_sum 'Ba2 In2 Br8'
_cell_length_a 5.646
_cell_length_b 10.388
_cell_length_c 9.462
_cell_angle_alpha 90.00
_cell_angle_beta 106.28
_cell_angle_gamma 90.00
_space_group_name_H-M_alt 'P 1'
_space_group_IT_number 1
loop_
_space_group_symop_operation_xyz
'x,y,z'
loop_
_atom_site_label
_atom_site_type_symbol
_atom_site_fract_x
_atom_site_fract_y
_atom_site_fract_z
Ba1 Ba 0.055 0.250 0.097
Ba2 Ba 0.945 0.750 0.903
In1 In 0.218 0.750 0.418
In2 In 0.782 0.250 0.582
Br1 Br 0.111 0.562 0.194
Br2 Br 0.111 0.938 0.194
Br3 Br 0.264 0.250 0.542
Br4 Br 0.375 0.750 0.756
Br5 Br 0.625 0.250 0.244
Br6 Br 0.736 0.750 0.458
Br7 Br 0.889 0.062 0.806
Br8 Br 0.889 0.438 0.806
```

Top of the stability list: b, leading by 762 meV/atom.